No. 1
This record from the Alexandria database describes PmHfGaRu after structural relaxation. The functional is PBE-GGA.

a = 4.8612 Å, b = 4.8612 Å, c = 4.8612 Å
α = 60.00°, β = 60.00°, γ = 60.00°
Positions (direct):
Ga1 0.2500 0.2500 0.2500
Ru1 0.7500 0.7500 0.7500
Pm1 0.0000 0.0000 0.0000
Hf1 0.5000 0.5000 0.5000

Summary:
- DFT formation energy (meV per atom) = -284
- SG = No. 216

No. 2
This record from the Alexandria database describes PrEu2Er after structural relaxation. The functional is PBE-GGA.

a = 4.0582 Å, b = 5.9974 Å, c = 5.9974 Å
α = 90.00°, β = 90.00°, γ = 90.00°
Site moments in Bohr magnetons follow the coordinates.
Positions (direct):
Er1 0.5000 0.5000 0.5000  -0.14
Pr1 0.5000 0.0000 0.0000  -0.14
Eu1 0.0000 0.0000 0.5000  -6.87
Eu2 0.0000 0.5000 0.0000  -6.87

Summary:
- DFT formation energy (meV per atom) = 156
- energy above the most stable polymorph in this dataset (meV per atom) = 64
- SG = No. 123

No. 3
This record from the Alexandria database describes CoMoIr2 after structural relaxation. The functional is PBE-GGA.

a = 2.7206 Å, b = 2.7206 Å, c = 7.5246 Å
α = 90.00°, β = 90.00°, γ = 90.00°
Site moments in Bohr magnetons follow the coordinates.
Positions (direct):
Co1 0.5000 0.5000 0.7540  1.16
Ir1 0.0000 0.0000 0.9853  0.22
Mo1 0.0000 0.0000 0.5133  0.10
Ir2 0.5000 0.5000 0.2474  -0.01

Summary:
- DFT formation energy (meV per atom) = -10
- energy above the most stable polymorph in this dataset (meV per atom) = 175
- SG = No. 99

No. 4
This record from the Alexandria database describes RbNa3Te2 after structural relaxation. The functional is PBE-GGA.

a = 4.9971 Å, b = 10.4851 Å, c = 12.5184 Å
α = 101.49°, β = 90.00°, γ = 103.79°
Positions (direct):
Te1 0.5374 0.0749 0.7892
Rb1 0.8396 0.6793 0.2883
Na1 0.6757 0.3514 0.9673
Na2 0.9543 0.9087 0.6798
Te2 0.3579 0.7159 0.5341
Na3 0.3243 0.6486 0.0327
Te3 0.8086 0.6173 0.8644
Na4 0.7844 0.5688 0.6050
Na5 0.2156 0.4312 0.3950
Rb2 0.0000 0.0000 0.0000
Rb3 0.1604 0.3207 0.7117
Te4 0.6421 0.2841 0.4659
Na6 0.6207 0.2414 0.2107
Na7 0.5000 0.0000 0.5000
Na8 0.0457 0.0913 0.3202
Te5 0.1914 0.3827 0.1356
Na9 0.3793 0.7586 0.7893
Te6 0.4626 0.9251 0.2108

Summary:
- formation energy without anion corrections (kJ/mol of atoms) = -88.4
- energy above the most stable polymorph in this dataset (meV per atom) = 0
- SG = No. 12

No. 5
This record from the Alexandria database describes BiSb2S2 after structural relaxation. The functional is PBE-GGA.

a = 9.1652 Å, b = 9.1652 Å, c = 3.5421 Å
α = 90.00°, β = 90.00°, γ = 90.00°
Positions (direct):
Sb1 0.7659 0.7341 0.0000
Sb2 0.2341 0.2659 0.0000
Bi1 0.0000 0.0000 0.0000
S1 0.3683 0.1317 0.5000
S2 0.6317 0.8683 0.5000
S3 0.8683 0.3683 0.5000
Bi2 0.5000 0.5000 0.0000
Sb3 0.7341 0.2341 0.0000
Sb4 0.2659 0.7659 0.0000
S4 0.1317 0.6317 0.5000

Summary:
- formation energy without anion corrections (kJ/mol of atoms) = -2.5
- energy above the most stable polymorph in this dataset (meV per atom) = 0
- SG = No. 127

No. 6
This record from the Alexandria database describes La2TmTe2Se2 after structural relaxation. The functional is PBE-GGA.

a = 5.2633 Å, b = 5.2633 Å, c = 8.9360 Å
α = 107.13°, β = 107.13°, γ = 90.00°
Site moments in Bohr magnetons follow the coordinates.
Positions (direct):
Se1 0.5000 0.0000 0.0000  -0.01
Tm1 0.0000 0.0000 0.0000  0.01
La1 0.6196 0.6196 0.2391  0.15
La2 0.3804 0.3804 0.7609  0.15
Se2 0.0000 0.5000 0.0000  -0.01
Te1 0.8164 0.8164 0.6328  0.00
Te2 0.1836 0.1836 0.3672  0.00

Summary:
- formation energy without anion corrections (kJ/mol of atoms) = -148.2
- SG = No. 139

No. 7
This record from the Alexandria database describes Ca3Pa3WN8 after structural relaxation. The functional is PBE-GGA.

a = 6.8525 Å, b = 6.8527 Å, c = 6.9302 Å
α = 119.63°, β = 90.00°, γ = 120.00°
Positions (direct):
N1 0.2196 0.4391 0.6937
N2 0.7804 0.5609 0.3063
Pa1 0.0000 0.5000 0.5000
Pa2 0.5000 0.0000 0.5000
Ca1 0.0000 0.5000 0.0000
Ca2 0.0000 0.0000 0.0000
N3 0.2196 0.9741 0.6937
Pa3 0.5000 0.5000 0.5000
N4 0.2455 0.0259 0.3063
W1 0.0000 0.0000 0.5000
Ca3 0.5000 0.5000 0.0000
N5 0.7545 0.9741 0.6937
N6 0.7804 0.0259 0.3063
N7 0.7437 0.4873 0.7310
N8 0.2563 0.5127 0.2690

Summary:
- formation energy without anion corrections (kJ/mol of atoms) = -119.1
- SG = No. 166

No. 8
This record from the Alexandria database describes Zn4CuRh5 after structural relaxation. The functional is PBE-GGA.

a = 3.0269 Å, b = 3.0269 Å, c = 15.0344 Å
α = 90.00°, β = 90.00°, γ = 90.00°
Site moments in Bohr magnetons follow the coordinates.
Positions (direct):
Zn1 0.0000 0.0000 0.1982  0.00
Rh1 0.5000 0.5000 0.7011  0.02
Rh2 0.5000 0.5000 0.9027  0.11
Cu1 0.0000 0.0000 0.0000  0.05
Rh3 0.5000 0.5000 0.2989  0.02
Rh4 0.5000 0.5000 0.0973  0.11
Zn2 0.0000 0.0000 0.8018  0.00
Rh5 0.5000 0.5000 0.5000  0.00
Zn3 0.0000 0.0000 0.3995  0.00
Zn4 0.0000 0.0000 0.6005  0.00

Summary:
- DFT formation energy (meV per atom) = -265
- SG = No. 123

No. 9
This record from the Alexandria database describes CeUGa after structural relaxation. The functional is PBE-GGA.

a = 2.8238 Å, b = 4.9396 Å, c = 4.9396 Å
α = 120.00°, β = 90.00°, γ = 90.00°
Site moments in Bohr magnetons follow the coordinates.
Positions (direct):
U1 0.1669 0.6667 0.3333  0.81
Ce1 0.1667 0.0000 0.0000  0.14
Ga1 0.6665 0.3333 0.6667  -0.01

Summary:
- DFT formation energy (meV per atom) = -106
- energy above the most stable polymorph in this dataset (meV per atom) = 41
- SG = No. 187

No. 10
This record from the Alexandria database describes LaBeSe2 after structural relaxation. The functional is PBE-GGA.

a = 3.9968 Å, b = 4.3166 Å, c = 6.0394 Å
α = 69.00°, β = 90.00°, γ = 90.00°
Positions (direct):
Se1 0.5000 0.3931 0.3397
Se2 0.0000 0.1170 0.8900
La1 0.5000 0.6803 0.7639
Be1 0.0000 0.3096 0.5065

Summary:
- formation energy without anion corrections (kJ/mol of atoms) = -121.8
- SG = No. 38

No. 11
This record from the Alexandria database describes PrTmIn2Au4 after structural relaxation. The functional is PBE-GGA.

a = 4.9656 Å, b = 4.9656 Å, c = 8.7397 Å
α = 73.50°, β = 73.50°, γ = 60.00°
Positions (direct):
Au1 0.3827 0.3827 0.8519
In1 0.7491 0.7491 0.7526
Pr1 0.0000 0.0000 0.0000
Au2 0.8687 0.8687 0.3940
Au3 0.6173 0.6173 0.1481
Tm1 0.5000 0.5000 0.5000
In2 0.2509 0.2509 0.2474
Au4 0.1313 0.1313 0.6060

Summary:
- DFT formation energy (meV per atom) = -682
- SG = No. 166

No. 12
This record from the Alexandria database describes NdSc6S8 after structural relaxation. The functional is PBE-GGA.

a = 6.9833 Å, b = 6.9833 Å, c = 6.9833 Å
α = 91.21°, β = 91.21°, γ = 91.21°
Site moments in Bohr magnetons follow the coordinates.
Positions (direct):
S1 0.7574 0.7574 0.7574  0.00
S2 0.2700 0.6279 0.8627  0.00
Sc1 0.5697 0.1908 0.4018  0.06
S3 0.1373 0.7300 0.3721  0.00
S4 0.3721 0.1373 0.7300  0.00
Sc2 0.4303 0.8092 0.5982  0.06
Sc3 0.4018 0.5697 0.1908  0.06
Sc4 0.8092 0.5982 0.4303  0.06
S5 0.6279 0.8627 0.2700  0.00
S6 0.7300 0.3721 0.1373  0.00
Sc5 0.1908 0.4018 0.5697  0.06
Sc6 0.5982 0.4303 0.8092  0.06
S7 0.8627 0.2700 0.6279  0.00
Nd1 0.0000 0.0000 0.0000  0.02
S8 0.2426 0.2426 0.2426  0.00

Summary:
- formation energy without anion corrections (kJ/mol of atoms) = -160.7
- SG = No. 148

What E_tot values result from the calculations? In sequence: -7.04; -7.32; -8.92; -2.78; -4.10; -5.48; -8.84; -4.86; -6.86; -5.17; -4.16; -6.72 eV per atom.